# 1
# RbCaAsIrS GGA-PBE relaxed
# DOS(E_F): 1.9 states/eV per cell
# Energy relative to the lowest polymorph listed for this composition: 0.091 eV/f.u.
# Electronic total energy: -4.964 eV/atom
# Formation energy (no corrections): -843 meV per atom
data_RbCaAsIrS
_chemical_formula_sum 'Rb1 Ca1 As1 Ir1 S1'
_cell_length_a 4.1324
_cell_length_b 4.1324
_cell_length_c 9.0963
_cell_angle_alpha 90.00
_cell_angle_beta 90.00
_cell_angle_gamma 120.00
_symmetry_space_group_name_H-M 'P 3 m 1'
_symmetry_Int_Tables_number 156
loop_
_symmetry_equiv_pos_as_xyz
'x,y,z'
'-y,x-y,z'
'-x+y,-x,z'
'-y,-x,z'
'-x+y,y,z'
'x,x-y,z'
loop_
_atom_site_label
_atom_site_type_symbol
_atom_site_fract_x
_atom_site_fract_y
_atom_site_fract_z
Rb1 Rb 0.0000 0.0000 0.0000
Ca1 Ca 0.0000 0.0000 0.5982
As1 As 0.3333 0.6667 0.3314
Ir1 Ir 0.6667 0.3333 0.3301
S1 S 0.3333 0.6667 0.7468

***

# 2
# RbCaAsIrS GGA-PBE relaxed
# DOS(E_F): 1.6 states/eV per cell
# Energy relative to the lowest polymorph listed for this composition: 1.780 eV/f.u.
# Electronic total energy: -4.626 eV/atom
# Formation energy (no corrections): -505 meV per atom
data_RbCaAsIrS
_chemical_formula_sum 'Rb2 Ca2 As2 Ir2 S2'
_cell_length_a 13.239
_cell_length_b 4.906
_cell_length_c 4.643
_cell_angle_alpha 90.00
_cell_angle_beta 98.78
_cell_angle_gamma 90.00
_symmetry_space_group_name_H-M 'C 1 m 1'
_symmetry_Int_Tables_number 8
loop_
_symmetry_equiv_pos_as_xyz
'x,y,z'
'x,-y,z'
'x+1/2,y+1/2,z'
'x+1/2,-y+1/2,z'
loop_
_atom_site_label
_atom_site_type_symbol
_atom_site_fract_x
_atom_site_fract_y
_atom_site_fract_z
Rb1 Rb 0.000 0.000 0.000
Ca1 Ca 0.201 0.500 0.731
As1 As 0.322 0.000 0.422
Ir1 Ir 0.299 0.000 0.911
S1 S 0.004 0.500 0.484

***

# 3
# RbCaAsIrS GGA-PBE relaxed
# DOS(E_F): 1.9 states/eV per cell
# Energy relative to the lowest polymorph listed for this composition: 0.676 eV/f.u.
# Electronic total energy: -4.847 eV/atom
# Formation energy (no corrections): -726 meV per atom
data_RbCaAsIrS
_chemical_formula_sum 'Rb2 Ca2 As2 Ir2 S2'
_cell_length_a 13.193
_cell_length_b 4.119
_cell_length_c 5.169
_cell_angle_alpha 90.00
_cell_angle_beta 111.64
_cell_angle_gamma 90.00
_symmetry_space_group_name_H-M 'C 1 m 1'
_symmetry_Int_Tables_number 8
loop_
_symmetry_equiv_pos_as_xyz
'x,y,z'
'x,-y,z'
'x+1/2,y+1/2,z'
'x+1/2,-y+1/2,z'
loop_
_atom_site_label
_atom_site_type_symbol
_atom_site_fract_x
_atom_site_fract_y
_atom_site_fract_z
Rb1 Rb 0.000 0.000 0.000
Ca1 Ca 0.287 0.500 0.278
As1 As 0.228 0.000 0.767
Ir1 Ir 0.141 0.500 0.622
S1 S 0.451 0.000 0.459

***

# 4
# RbCaAsIrS GGA-PBE relaxed
# DOS(E_F): 3.9 states/eV per cell
# Energy relative to the lowest polymorph listed for this composition: 0.064 eV/f.u.
# Electronic total energy: -4.969 eV/atom
# Formation energy (no corrections): -848 meV per atom
data_RbCaAsIrS
_chemical_formula_sum 'Rb2 Ca2 As2 Ir2 S2'
_cell_length_a 7.163
_cell_length_b 4.138
_cell_length_c 9.373
_cell_angle_alpha 90.00
_cell_angle_beta 104.75
_cell_angle_gamma 90.00
_symmetry_space_group_name_H-M 'C 1 m 1'
_symmetry_Int_Tables_number 8
loop_
_symmetry_equiv_pos_as_xyz
'x,y,z'
'x,-y,z'
'x+1/2,y+1/2,z'
'x+1/2,-y+1/2,z'
loop_
_atom_site_label
_atom_site_type_symbol
_atom_site_fract_x
_atom_site_fract_y
_atom_site_fract_z
Rb1 Rb 0.000 0.000 0.000
Ca1 Ca 0.298 0.500 0.394
As1 As 0.226 0.000 0.673
Ir1 Ir 0.056 0.500 0.665
S1 S 0.416 0.000 0.247

***

# 5
# RbCaAsIrS GGA-PBE relaxed
# DOS(E_F): 3.2 states/eV per cell
# Energy relative to the lowest polymorph listed for this composition: 0.164 eV/f.u.
# Electronic total energy: -4.949 eV/atom
# Formation energy (no corrections): -828 meV per atom
data_RbCaAsIrS
_chemical_formula_sum 'Rb1 Ca1 As1 Ir1 S1'
_cell_length_a 4.122
_cell_length_b 4.166
_cell_length_c 9.697
_cell_angle_alpha 78.03
_cell_angle_beta 77.89
_cell_angle_gamma 60.47
_symmetry_space_group_name_H-M 'P 1'
_symmetry_Int_Tables_number 1
loop_
_symmetry_equiv_pos_as_xyz
'x,y,z'
loop_
_atom_site_label
_atom_site_type_symbol
_atom_site_fract_x
_atom_site_fract_y
_atom_site_fract_z
Rb1 Rb 0.000 0.000 0.000
Ca1 Ca 0.538 0.554 0.376
As1 As 0.772 0.770 0.681
Ir1 Ir 0.437 0.432 0.689
S1 S 0.251 0.260 0.244

***

# 6
# RbCaAsIrS GGA-PBE relaxed
# DOS(E_F): 2.2 states/eV per cell
# Energy relative to the lowest polymorph listed for this composition: 0.474 eV/f.u.
# Electronic total energy: -4.888 eV/atom
# Formation energy (no corrections): -766 meV per atom
data_RbCaAsIrS
_chemical_formula_sum 'Rb1 Ca1 As1 Ir1 S1'
_cell_length_a 3.962
_cell_length_b 4.032
_cell_length_c 8.494
_cell_angle_alpha 90.00
_cell_angle_beta 90.48
_cell_angle_gamma 90.00
_symmetry_space_group_name_H-M 'P 1 m 1'
_symmetry_Int_Tables_number 6
loop_
_symmetry_equiv_pos_as_xyz
'x,y,z'
'x,-y,z'
loop_
_atom_site_label
_atom_site_type_symbol
_atom_site_fract_x
_atom_site_fract_y
_atom_site_fract_z
Rb1 Rb 0.000 0.000 0.000
Ca1 Ca 0.510 0.000 0.557
As1 As 0.505 0.500 0.245
Ir1 Ir 0.007 0.500 0.394
S1 S 0.013 0.500 0.672

***

# 7
# Ca2As3IrRh4 GGA-PBE relaxed
# DOS(E_F): 4.4 states/eV per cell
# Electronic total energy: -6.260 eV/atom
# Energy relative to the elements: -638 meV/atom
data_Ca2As3IrRh4
_chemical_formula_sum 'Ca2 As3 Ir1 Rh4'
_cell_length_a 4.224
_cell_length_b 4.224
_cell_length_c 10.229
_cell_angle_alpha 90.00
_cell_angle_beta 90.00
_cell_angle_gamma 90.00
_symmetry_space_group_name_H-M 'P -4 m 2'
_symmetry_Int_Tables_number 115
loop_
_symmetry_equiv_pos_as_xyz
'x,y,z'
'y,-x,-z'
'-x,-y,z'
'-y,x,-z'
'-x,y,z'
'-y,-x,-z'
'x,-y,z'
'y,x,-z'
loop_
_atom_site_label
_atom_site_type_symbol
_atom_site_fract_x
_atom_site_fract_y
_atom_site_fract_z
Ca1 Ca 0.000 0.500 0.250
As1 As 0.000 0.000 0.000
As2 As 0.000 0.500 0.634
Ir1 Ir 0.500 0.500 0.000
Rh1 Rh 0.000 0.000 0.500
Rh2 Rh 0.000 0.500 0.869
Rh3 Rh 0.500 0.500 0.500

***

# 8
# Ca2As4Ir3Rh GGA-PBE relaxed
# DOS(E_F): 3.9 states/eV per cell
# Electronic total energy: -6.290 eV/atom
# Energy relative to the elements: -636 meV/atom
data_Ca2As4Ir3Rh
_chemical_formula_sum 'Ca2 As4 Ir3 Rh1'
_cell_length_a 4.266
_cell_length_b 4.266
_cell_length_c 10.150
_cell_angle_alpha 90.00
_cell_angle_beta 90.00
_cell_angle_gamma 90.00
_symmetry_space_group_name_H-M 'P -4 m 2'
_symmetry_Int_Tables_number 115
loop_
_symmetry_equiv_pos_as_xyz
'x,y,z'
'y,-x,-z'
'-x,-y,z'
'-y,x,-z'
'-x,y,z'
'-y,-x,-z'
'x,-y,z'
'y,x,-z'
loop_
_atom_site_label
_atom_site_type_symbol
_atom_site_fract_x
_atom_site_fract_y
_atom_site_fract_z
Ca1 Ca 0.000 0.500 0.246
As1 As 0.000 0.000 0.000
As2 As 0.000 0.500 0.635
As3 As 0.500 0.500 0.000
Ir1 Ir 0.000 0.500 0.875
Ir2 Ir 0.500 0.500 0.500
Rh1 Rh 0.000 0.000 0.500

***

# 9
# Ca2As2IrRh GGA-PBE relaxed
# DOS(E_F): 11.6 states/eV per cell
# Electronic total energy: -5.676 eV/atom
# Energy relative to the elements: -757 meV/atom
data_Ca2As2IrRh
_chemical_formula_sum 'Ca8 As8 Ir4 Rh4'
_cell_length_a 5.829
_cell_length_b 14.228
_cell_length_c 5.832
_cell_angle_alpha 90.00
_cell_angle_beta 90.00
_cell_angle_gamma 90.00
_symmetry_space_group_name_H-M 'I b a m'
_symmetry_Int_Tables_number 72
_symmetry_space_group_name_Hall '-I 2 2c'
loop_
_atom_site_label
_atom_site_type_symbol
_atom_site_fract_x
_atom_site_fract_y
_atom_site_fract_z
Ca1 Ca 0.249 0.163 0.000
As1 As 0.248 0.393 0.000
Ir1 Ir 0.000 0.500 0.250
Rh1 Rh 0.000 0.000 0.250

***

# 10
# Ca2TeAsIr GGA-PBE relaxed
# DOS(E_F): 2.1 states/eV per cell
# Electronic total energy: -4.892 eV/atom
# Formation energy (no corrections): -761 meV per atom
data_Ca2TeAsIr
_chemical_formula_sum 'Ca2 Te1 As1 Ir1'
_cell_length_a 5.681
_cell_length_b 5.681
_cell_length_c 4.524
_cell_angle_alpha 90.00
_cell_angle_beta 90.00
_cell_angle_gamma 90.00
_symmetry_space_group_name_H-M 'P 4/m m m'
_symmetry_Int_Tables_number 123
_symmetry_space_group_name_Hall '-P 4 2'
loop_
_atom_site_label
_atom_site_type_symbol
_atom_site_fract_x
_atom_site_fract_y
_atom_site_fract_z
Ca1 Ca 0.000 0.500 0.000
Te1 Te 0.000 0.000 0.500
As1 As 0.500 0.500 0.500
Ir1 Ir 0.500 0.500 0.000

***

# 11
# Ca2ZnAs3Ir4 GGA-PBE relaxed
# DOS(E_F): 4.9 states/eV per cell
# Electronic total energy: -6.034 eV/atom
# Energy relative to the elements: -567 meV/atom
data_Ca2ZnAs3Ir4
_chemical_formula_sum 'Ca2 Zn1 As3 Ir4'
_cell_length_a 4.191
_cell_length_b 4.191
_cell_length_c 10.371
_cell_angle_alpha 90.00
_cell_angle_beta 90.00
_cell_angle_gamma 90.00
_symmetry_space_group_name_H-M 'P -4 m 2'
_symmetry_Int_Tables_number 115
loop_
_symmetry_equiv_pos_as_xyz
'x,y,z'
'y,-x,-z'
'-x,-y,z'
'-y,x,-z'
'-x,y,z'
'-y,-x,-z'
'x,-y,z'
'y,x,-z'
loop_
_atom_site_label
_atom_site_type_symbol
_atom_site_fract_x
_atom_site_fract_y
_atom_site_fract_z
Ca1 Ca 0.000 0.500 0.245
Zn1 Zn 0.500 0.500 0.000
As1 As 0.000 0.000 0.000
As2 As 0.000 0.500 0.636
Ir1 Ir 0.000 0.000 0.500
Ir2 Ir 0.000 0.500 0.866
Ir3 Ir 0.500 0.500 0.500

***

# 12
# K2CaAs GGA-PBE relaxed
# DOS(E_F): 4.0 states/eV per cell
# Electronic total energy: -2.383 eV/atom
# Energy relative to the elements: -171 meV/atom
data_K2CaAs
_chemical_formula_sum 'K4 Ca2 As2'
_cell_length_a 4.742
_cell_length_b 4.742
_cell_length_c 11.631
_cell_angle_alpha 90.00
_cell_angle_beta 90.00
_cell_angle_gamma 90.00
_symmetry_space_group_name_H-M 'I 4/m m m'
_symmetry_Int_Tables_number 139
_symmetry_space_group_name_Hall '-I 4 2'
loop_
_atom_site_label
_atom_site_type_symbol
_atom_site_fract_x
_atom_site_fract_y
_atom_site_fract_z
K1 K 0.000 0.500 0.250
Ca1 Ca 0.000 0.000 0.000
As1 As 0.000 0.000 0.500